Entry 1:
{
  "formula": "Rb3Pt2Cl9",
  "functional": "GGA-PBE",
  "state": "relaxed",
  "energy_ev_per_atom": -3.31,
  "dos_ef_per_ev_atom": 0.552,
  "e_form_raw_ev_per_atom": -1.05,
  "lattice": [[7.147, 0.000, 0.000], [-3.573, 6.189, 0.000], [0.000, 0.000, 18.512]],
  "species": ["Cl", "Cl", "Cl", "Cl", "Cl", "Cl", "Cl", "Cl", "Cl", "Cl", "Cl", "Cl", "Cl", "Cl", "Cl", "Cl", "Cl", "Cl", "Pt", "Pt", "Pt", "Pt", "Rb", "Rb", "Rb", "Rb", "Rb", "Rb"],
  "frac_coords": [[0.653, 0.826, 0.592], [0.174, 0.826, 0.908], [0.510, 0.019, 0.250], [0.019, 0.510, 0.750], [0.347, 0.174, 0.092], [0.826, 0.174, 0.092], [0.174, 0.347, 0.592], [0.826, 0.653, 0.092], [0.347, 0.174, 0.408], [0.174, 0.347, 0.908], [0.490, 0.510, 0.750], [0.653, 0.826, 0.908], [0.826, 0.174, 0.408], [0.490, 0.981, 0.750], [0.174, 0.826, 0.592], [0.510, 0.490, 0.250], [0.826, 0.653, 0.408], [0.981, 0.490, 0.250], [0.333, 0.667, 0.665], [0.667, 0.333, 0.335], [0.667, 0.333, 0.165], [0.333, 0.667, 0.835], [0.333, 0.667, 0.437], [0.667, 0.333, 0.937], [0.667, 0.333, 0.563], [0.333, 0.667, 0.063], [0.000, 0.000, 0.750], [0.000, 0.000, 0.250]]
}

***

Entry 2:
{
  "formula": "Sr4ZnN",
  "functional": "GGA-PBE",
  "state": "relaxed",
  "energy_ev_per_atom": -2.97,
  "dos_ef_per_ev_atom": 0.738,
  "e_form_raw_ev_per_atom": -0.25,
  "lattice": [[5.226, 0.000, 0.000], [-2.613, 7.656, -1.099], [0.000, -3.307, 11.556]],
  "species": ["Sr", "Sr", "Sr", "Sr", "Sr", "Sr", "Sr", "Sr", "N", "N", "Zn", "Zn"],
  "frac_coords": [[0.116, 0.232, 0.933], [0.926, 0.851, 0.595], [0.401, 0.802, 0.303], [0.727, 0.455, 0.255], [0.599, 0.198, 0.697], [0.884, 0.768, 0.067], [0.074, 0.149, 0.405], [0.273, 0.545, 0.745], [0.898, 0.796, 0.274], [0.102, 0.204, 0.726], [0.292, 0.583, 0.485], [0.708, 0.417, 0.515]]
}

***

Entry 3:
{
  "formula": "TlCuPb2W",
  "functional": "GGA-PBE",
  "state": "relaxed",
  "energy_ev_per_atom": -3.61,
  "ef_ev_per_atom": 1.754,
  "dos_ef_per_ev_atom": 0.641,
  "lattice": [[-2.011, 3.030, -4.484], [3.554, -1.733, -2.765], [-3.347, -4.455, -1.509]],
  "species": ["Pb", "Pb", "Tl", "Cu", "W"],
  "frac_coords": [[0.500, 0.000, 0.000], [0.000, 0.000, 0.500], [0.000, 0.000, 0.000], [0.000, 0.500, 0.000], [0.500, 0.500, 0.500]]
}

***

Entry 4:
{
  "formula": "K2HgPt",
  "functional": "GGA-PBE",
  "state": "relaxed",
  "energy_ev_per_atom": -1.94,
  "ef_ev_per_atom": 0.196,
  "dos_ef_per_ev_atom": 0.512,
  "lattice": [[-10.444, 2.985, 3.196], [-9.058, 2.576, 6.286], [-8.713, 5.544, 4.642]],
  "species": ["K", "K", "Hg", "Pt"],
  "frac_coords": [[0.990, 0.990, 0.990], [0.510, 0.510, 0.510], [0.750, 0.750, 0.750], [0.250, 0.250, 0.250]]
}